Record 1
Density functional theory data (PBE-GGA) for crystalline Dy5Y4Sc2 at its relaxed geometry.

Properties
As for the space group: C2/m, No. 12. The calculation puts the raw total energy at -60.97 eV/cell.

a = 11.073 Å, b = 11.073 Å, c = 9.016 Å
α = 108.23°, β = 108.23°, γ = 18.79°
Fractional positions:
Dy: 0.000 0.000 0.000
Dy: 0.268 0.268 0.345
Dy: 0.372 0.372 0.758
Dy: 0.628 0.628 0.242
Dy: 0.732 0.732 0.655
Y: 0.169 0.169 0.932
Y: 0.477 0.477 0.297
Y: 0.523 0.523 0.703
Y: 0.831 0.831 0.068
Sc: 0.102 0.102 0.528
Sc: 0.898 0.898 0.472

***

Record 2
Density functional theory data (PBE-GGA) for crystalline La2PmDy at its relaxed geometry.

Properties
The polymorph energy (0 for the lowest one) is 0.011 eV/atom. As for the space group: R3m, No. 160. The calculation puts the raw total energy at -19.12 eV/cell.

a = 12.121 Å, b = 12.121 Å, c = 12.121 Å
α = 17.46°, β = 17.46°, γ = 17.46°
Fractional positions:
La: 0.000 0.000 0.000
La: 0.169 0.169 0.169
Pm: 0.417 0.417 0.417
Dy: 0.585 0.585 0.585

***

Record 3
Density functional theory data (PBE-GGA) for crystalline MgAl3O at its relaxed geometry.

Properties
The polymorph energy (0 for the lowest one) is 0.000 eV/atom. As for the space group: Pm-3m, No. 221. The calculation puts the raw formation energy at -0.266 eV/atom. The calculation puts the raw total energy at -19.11 eV/cell.

a = 4.340 Å, b = 4.340 Å, c = 4.340 Å
α = 90.00°, β = 90.00°, γ = 90.00°
Fractional positions:
Mg: 0.000 0.000 0.000
Al: 0.000 0.500 0.500
Al: 0.500 0.000 0.500
Al: 0.500 0.500 0.000
O: 0.500 0.500 0.500

***

Record 4
Density functional theory data (PBE-GGA) for crystalline Pa2Ge5Pd3 at its relaxed geometry.

Properties
The polymorph energy (0 for the lowest one) is 0.011 eV/atom. As for the space group: Cmc2_1, No. 36. The calculation puts the raw total energy at -124.81 eV/cell.

a = 12.105 Å, b = 12.105 Å, c = 7.305 Å
α = 90.00°, β = 90.00°, γ = 159.25°
Fractional positions:
Pa: 0.021 0.979 0.500
Pa: 0.326 0.674 0.496
Pa: 0.674 0.326 0.996
Pa: 0.979 0.021 0.000
Ge: 0.104 0.896 0.820
Ge: 0.204 0.796 0.328
Ge: 0.224 0.776 0.749
Ge: 0.386 0.614 0.021
Ge: 0.449 0.551 0.687
Ge: 0.551 0.449 0.187
Ge: 0.614 0.386 0.521
Ge: 0.776 0.224 0.249
Ge: 0.796 0.204 0.828
Ge: 0.896 0.104 0.320
Pd: 0.108 0.892 0.200
Pd: 0.282 0.718 0.057
Pd: 0.453 0.547 0.326
Pd: 0.547 0.453 0.826
Pd: 0.718 0.282 0.557
Pd: 0.892 0.108 0.700

***

Record 5
Density functional theory data (PBE-GGA) for crystalline La3Dy3Tl2 at its relaxed geometry.

Properties
The polymorph energy (0 for the lowest one) is 0.000 eV/atom. As for the space group: R32, No. 155. The calculation puts the raw total energy at -34.39 eV/cell.

a = 6.312 Å, b = 6.312 Å, c = 6.312 Å
α = 89.68°, β = 89.68°, γ = 89.68°
Fractional positions:
La: 0.000 0.258 0.742
La: 0.258 0.742 0.000
La: 0.742 0.000 0.258
Dy: 0.258 0.742 0.500
Dy: 0.500 0.258 0.742
Dy: 0.742 0.500 0.258
Tl: 0.250 0.250 0.250
Tl: 0.750 0.750 0.750

***

Record 6
Density functional theory data (PBE-GGA) for crystalline Sc2TlIr at its relaxed geometry.

Properties
As for the space group: P4mm, No. 99. The calculation puts the raw total energy at -25.21 eV/cell.

a = 3.722 Å, b = 3.722 Å, c = 6.394 Å
α = 90.00°, β = 90.00°, γ = 90.00°
Fractional positions:
Sc: 0.000 0.000 0.000
Sc: 0.500 0.500 0.303
Tl: 0.000 0.000 0.548
Ir: 0.500 0.500 0.904

***

Record 7
Density functional theory data (PBE-GGA) for crystalline MgOF3 at its relaxed geometry.

Properties
The polymorph energy (0 for the lowest one) is 0.417 eV/atom. As for the space group: Pm-3m, No. 221. The calculation puts the raw formation energy at -1.552 eV/atom. The calculation puts the raw total energy at -19.93 eV/cell.

a = 3.939 Å, b = 3.939 Å, c = 3.939 Å
α = 90.00°, β = 90.00°, γ = 90.00°
Fractional positions:
Mg: 0.000 0.000 0.000
O: 0.500 0.500 0.500
F: 0.000 0.000 0.500
F: 0.000 0.500 0.000
F: 0.500 0.000 0.000

***

Record 8
Density functional theory data (PBE-GGA) for crystalline Ho3Ga3Ni8 at its relaxed geometry.

Properties
As for the space group: Immm, No. 71. The calculation puts the raw total energy at -75.12 eV/cell.

a = 7.734 Å, b = 7.734 Å, c = 7.734 Å
α = 149.35°, β = 111.54°, γ = 76.85°
Fractional positions:
Ho: 0.000 0.000 0.000
Ho: 0.296 0.296 0.000
Ho: 0.704 0.704 0.000
Ga: 0.264 0.500 0.764
Ga: 0.500 0.000 0.500
Ga: 0.736 0.500 0.236
Ni: 0.027 0.687 0.340
Ni: 0.165 0.885 0.280
Ni: 0.347 0.687 0.660
Ni: 0.395 0.115 0.280
Ni: 0.605 0.885 0.720
Ni: 0.653 0.313 0.340
Ni: 0.835 0.115 0.720
Ni: 0.973 0.313 0.660

***

Q: raw total energy of number 5 (La3Dy3Tl2)?
A: -34.39 eV/cell